First-principles (PBE) data for PaPbSe4 after structural relaxation, as listed in Alexandria via LeMat-Bulk.

a = 7.141 Å, b = 7.224 Å, c = 6.970 Å
α = 90.00°, β = 90.58°, γ = 90.00°
Positions (direct):
Pa 0.000 0.000 0.000
Pa 0.500 0.500 0.000
Pb 0.500 0.000 0.500
Pb 0.000 0.500 0.500
Se 0.835 0.661 0.115
Se 0.665 0.161 0.885
Se 0.401 0.389 0.369
Se 0.099 0.889 0.631
Se 0.165 0.339 0.885
Se 0.335 0.839 0.115
Se 0.599 0.611 0.631
Se 0.901 0.111 0.369

Magnetic moment in μB per formula unit: 0.87
ΔE to the lowest computed polymorph in meV per atom: 0.0
Total energy in eV per atom: -5.3050
Calculated density in Mg/m³: 7.0
DOS at the Fermi energy in states/eV/cell: 6.439